1.
## Co2Ge2Au (PBE)

Data for a relaxed Co2Ge2Au crystal.

Properties
E in hartree per atom: -0.1989

Unit cell a=5.2857 b=3.9428 c=6.9087 alpha=90.00 beta=90.00 gamma=90.00
With the nearest neighbours (Å) after each atom.
Positions (direct):
Co: 0.0000 0.0000 0.0000  6 Ge 2.43-2.48, 4 Co 2.56-2.64
Co: 0.2500 0.0000 0.3177  5 Ge 2.46-2.68, 2 Co 2.56, 4 Au 2.69
Co: 0.5000 0.0000 0.0000  6 Ge 2.43-2.48, 4 Co 2.56-2.64
Co: 0.7500 0.0000 0.6823  5 Ge 2.46-2.68, 2 Co 2.56, 4 Au 2.69
Ge: 0.2500 0.0000 0.7054  5 Co 2.43-2.68
Ge: 0.2500 0.5000 0.1040  6 Co 2.46-2.48
Ge: 0.7500 0.0000 0.2946  5 Co 2.43-2.68
Ge: 0.7500 0.5000 0.8960  6 Co 2.46-2.48
Au: 0.0000 0.5000 0.5000  2 Au 2.64, 4 Co 2.69, 4 Ge 2.77
Au: 0.5000 0.5000 0.5000  2 Au 2.64, 4 Co 2.69, 4 Ge 2.77

2.
## CoGeAu2 (PBE)

Data for a relaxed CoGeAu2 crystal.

Properties
E in hartree per atom: -0.1588

Unit cell a=4.5126 b=4.5126 c=4.5126 alpha=60.00 beta=60.00 gamma=60.00
With the nearest neighbours (Å) after each atom.
Positions (direct):
Co: 0.0000 0.0000 0.0000  4 Ge 2.76, 4 Au 2.76
Ge: 0.7500 0.7500 0.7500  4 Au 2.76, 4 Co 2.76
Au: 0.2500 0.2500 0.2500  4 Au 2.76, 4 Co 2.76
Au: 0.5000 0.5000 0.5000  4 Ge 2.76, 4 Au 2.76

3.
## Co3Ge5Au (PBE)

Data for a relaxed Co3Ge5Au crystal.

Properties
E in hartree per atom: -0.1954

Unit cell a=5.0046 b=5.0046 c=6.3372 alpha=90.00 beta=90.00 gamma=120.00
With the nearest neighbours (Å) after each atom.
Positions (direct):
Co: 0.0000 0.5000 0.0000  6 Ge 2.39-2.50, 4 Co 2.50
Co: 0.5000 0.0000 0.0000  6 Ge 2.39-2.50, 4 Co 2.50
Co: 0.5000 0.5000 0.0000  6 Ge 2.39-2.50, 4 Co 2.50
Ge: 0.0000 0.0000 0.0000  6 Co 2.50
Ge: 0.3333 0.6667 0.3010  3 Co 2.39, 1 Ge 2.52
Ge: 0.3333 0.6667 0.6990  3 Co 2.39, 1 Ge 2.52
Ge: 0.6667 0.3333 0.3010  3 Co 2.39, 1 Ge 2.52
Ge: 0.6667 0.3333 0.6990  3 Co 2.39, 1 Ge 2.52
Au: 0.0000 0.0000 0.5000  14 Ge 3.15-3.17

4.
## HfCoGeAu (PBE)

Data for a relaxed HfCoGeAu crystal.

Properties
E in hartree per atom: -0.2316
Offset from the most stable computed form in eV/atom: 0.106

Unit cell a=4.5005 b=4.5005 c=4.5005 alpha=60.00 beta=60.00 gamma=60.00
With the nearest neighbours (Å) after each atom.
Positions (direct):
Hf: 0.0000 0.0000 0.0000  4 Ge 2.76, 4 Co 2.76
Co: 0.7500 0.7500 0.7500  4 Au 2.76, 4 Hf 2.76
Ge: 0.2500 0.2500 0.2500  4 Hf 2.76, 4 Au 2.76
Au: 0.5000 0.5000 0.5000  4 Co 2.76, 4 Ge 2.76

5.
## HfCoGeAu (PBE)

Data for a relaxed HfCoGeAu crystal.

Properties
E in hartree per atom: -0.2336
Offset from the most stable computed form in eV/atom: 0.053

Unit cell a=4.5231 b=4.5231 c=4.5231 alpha=60.00 beta=60.00 gamma=60.00
With the nearest neighbours (Å) after each atom.
Positions (direct):
Hf: 0.0000 0.0000 0.0000  4 Co 2.77, 4 Au 2.77
Co: 0.7500 0.7500 0.7500  4 Ge 2.77, 4 Hf 2.77
Ge: 0.5000 0.5000 0.5000  4 Co 2.77, 4 Au 2.77
Au: 0.2500 0.2500 0.2500  4 Ge 2.77, 4 Hf 2.77

6.
## HfCoGeAu (PBE)

Data for a relaxed HfCoGeAu crystal.

Properties
E in hartree per atom: -0.2355
Offset from the most stable computed form in eV/atom: 0.000

Unit cell a=4.5083 b=4.5083 c=4.5083 alpha=60.00 beta=60.00 gamma=60.00
With the nearest neighbours (Å) after each atom.
Positions (direct):
Hf: 0.0000 0.0000 0.0000  4 Ge 2.76, 4 Au 2.76
Co: 0.5000 0.5000 0.5000  4 Au 2.76, 4 Ge 2.76
Ge: 0.2500 0.2500 0.2500  4 Co 2.76, 4 Hf 2.76
Au: 0.7500 0.7500 0.7500  4 Co 2.76, 4 Hf 2.76

7.
## CoHgGeAu (PBE)

Data for a relaxed CoHgGeAu crystal.

Properties
E in hartree per atom: -0.1265
Offset from the most stable computed form in eV/atom: 0.000

Unit cell a=4.5936 b=4.5936 c=4.5936 alpha=60.00 beta=60.00 gamma=60.00
With the nearest neighbours (Å) after each atom.
Positions (direct):
Co: 0.0000 0.0000 0.0000  4 Ge 2.81, 4 Hg 2.81
Hg: 0.2500 0.2500 0.2500  4 Au 2.81, 4 Co 2.81
Ge: 0.7500 0.7500 0.7500  4 Au 2.81, 4 Co 2.81
Au: 0.5000 0.5000 0.5000  4 Hg 2.81, 4 Ge 2.81

8.
## LiCoGeAu (PBE)

Data for a relaxed LiCoGeAu crystal.

Properties
E in hartree per atom: -0.1603
Offset from the most stable computed form in eV/atom: 0.000

Unit cell a=4.2810 b=4.2810 c=4.2810 alpha=60.00 beta=60.00 gamma=60.00
With the nearest neighbours (Å) after each atom.
Positions (direct):
Li: 0.0000 0.0000 0.0000  4 Au 2.62, 4 Ge 2.62
Co: 0.5000 0.5000 0.5000  4 Au 2.62, 4 Ge 2.62
Ge: 0.2500 0.2500 0.2500  4 Co 2.62, 4 Li 2.62
Au: 0.7500 0.7500 0.7500  4 Li 2.62, 4 Co 2.62

Magnetization per entry: 0.41, 1.52, 0.01, 0.47, 0.42, 0.53, 1.12, 1.00 μB per formula unit